Record 1
A relaxed structure of VAgHgO4, computed with GGA-PBEsol.

Results
energy relative to the elements, uncorrected: -1.24 eV/atom

Unit cell a=5.822 b=5.822 c=7.071 alpha=97.18 beta=97.18 gamma=55.19
Fractional positions:
V 0.187 0.187 0.227
V 0.813 0.813 0.773
Ag 0.152 0.112 0.713
Ag 0.888 0.848 0.287
Hg 0.498 0.502 0.000
Hg 0.542 0.458 0.500
O 0.009 0.724 0.982
O 0.014 0.756 0.597
O 0.244 0.986 0.403
O 0.276 0.991 0.018
O 0.427 0.296 0.264
O 0.543 0.167 0.782
O 0.704 0.573 0.736
O 0.833 0.457 0.218

---

Record 2
A relaxed structure of Fe2SiCl, computed with GGA-PBEsol.

Results
energy relative to the elements, uncorrected: 0.06 eV/atom
N(E_F): 3.50 states/eV/cell
polymorph energy (0 for the lowest one): 0.000 eV/atom

Unit cell a=2.891 b=2.891 c=6.089 alpha=90.00 beta=90.00 gamma=90.00
Fractional positions:
Fe 0.000 0.000 0.198
Fe 0.000 0.000 0.802
Si 0.500 0.500 0.000
Cl 0.500 0.500 0.500

---

Record 3
A relaxed structure of Na5V7O14, computed with GGA-PBEsol.

Results
energy relative to the elements, uncorrected: -2.22 eV/atom
N(E_F): 7.27 states/eV/cell

Unit cell a=4.879 b=7.112 c=8.046 alpha=95.70 beta=101.24 gamma=96.96
Fractional positions:
Na 0.000 0.000 0.000
Na 0.282 0.563 0.570
Na 0.445 0.848 0.849
Na 0.555 0.152 0.151
Na 0.718 0.437 0.430
V 0.066 0.121 0.623
V 0.182 0.437 0.938
V 0.344 0.700 0.201
V 0.500 0.000 0.500
V 0.656 0.300 0.799
V 0.818 0.563 0.062
V 0.934 0.879 0.377
O 0.030 0.612 0.297
O 0.113 0.702 0.972
O 0.181 0.871 0.594
O 0.251 0.963 0.273
O 0.319 0.176 0.867
O 0.397 0.253 0.562
O 0.465 0.461 0.152
O 0.535 0.539 0.848
O 0.603 0.747 0.438
O 0.681 0.824 0.133
O 0.749 0.037 0.727
O 0.819 0.129 0.406
O 0.887 0.298 0.028
O 0.970 0.388 0.703

---

Record 4
A relaxed structure of RbGaAgF6, computed with GGA-PBEsol.

Results
energy relative to the elements, uncorrected: -2.22 eV/atom
N(E_F): 9.19 states/eV/cell

Unit cell a=7.216 b=7.427 c=10.141 alpha=90.00 beta=90.00 gamma=90.00
Fractional positions:
Rb 0.030 0.250 0.120
Rb 0.470 0.750 0.620
Rb 0.530 0.250 0.380
Rb 0.970 0.750 0.880
Ga 0.000 0.000 0.500
Ga 0.000 0.500 0.500
Ga 0.500 0.000 0.000
Ga 0.500 0.500 0.000
Ag 0.186 0.250 0.755
Ag 0.314 0.750 0.255
Ag 0.686 0.250 0.745
Ag 0.814 0.750 0.245
F 0.068 0.750 0.161
F 0.077 0.250 0.505
F 0.108 0.529 0.669
F 0.108 0.971 0.669
F 0.233 0.552 0.425
F 0.233 0.948 0.425
F 0.267 0.052 0.925
F 0.267 0.448 0.925
F 0.392 0.029 0.169
F 0.392 0.471 0.169
F 0.423 0.750 0.005
F 0.432 0.250 0.661
F 0.568 0.750 0.339
F 0.577 0.250 0.995
F 0.608 0.529 0.831
F 0.608 0.971 0.831
F 0.733 0.552 0.075
F 0.733 0.948 0.075
F 0.767 0.052 0.575
F 0.767 0.448 0.575
F 0.892 0.029 0.331
F 0.892 0.471 0.331
F 0.923 0.750 0.495
F 0.932 0.250 0.839

---

Record 5
A relaxed structure of YFe3Re, computed with GGA-PBEsol.

Results
calculated formation energy: 0.881 eV per atom
N(E_F): 9.17 states/eV/cell

Unit cell a=4.443 b=4.443 c=4.443 alpha=90.00 beta=90.00 gamma=90.00
Fractional positions:
Y 0.000 0.000 0.000
Fe 0.000 0.500 0.500
Fe 0.500 0.000 0.500
Fe 0.500 0.500 0.000
Re 0.500 0.500 0.500

---

Record 6
A relaxed structure of Rh2WAu, computed with GGA-PBEsol.

Results
calculated formation energy: -0.103 eV per atom
N(E_F): 3.22 states/eV/cell
polymorph energy (0 for the lowest one): 0.000 eV/atom

Unit cell a=2.767 b=2.767 c=7.767 alpha=90.00 beta=90.00 gamma=90.00
Fractional positions:
Rh 0.000 0.000 0.233
Rh 0.000 0.000 0.767
W 0.500 0.500 0.000
Au 0.500 0.500 0.500

---

Record 7
A relaxed structure of Ti2TcB2, computed with GGA-PBEsol.

Results
calculated formation energy: -0.893 eV per atom
N(E_F): 2.34 states/eV/cell

Unit cell a=5.885 b=5.885 c=3.133 alpha=90.00 beta=90.00 gamma=90.00
Fractional positions:
Ti 0.181 0.319 0.000
Ti 0.319 0.819 0.000
Ti 0.681 0.181 0.000
Ti 0.819 0.681 0.000
Tc 0.000 0.000 0.500
Tc 0.500 0.500 0.500
B 0.108 0.608 0.500
B 0.392 0.108 0.500
B 0.608 0.892 0.500
B 0.892 0.392 0.500

---

Record 8
A relaxed structure of Zr5AsPb3, computed with GGA-PBEsol.

Results
calculated formation energy: -0.608 eV per atom
N(E_F): 8.80 states/eV/cell

Unit cell a=8.670 b=8.670 c=5.948 alpha=90.00 beta=90.00 gamma=120.00
Fractional positions:
Zr 0.000 0.259 0.250
Zr 0.000 0.741 0.750
Zr 0.259 0.000 0.250
Zr 0.259 0.259 0.750
Zr 0.333 0.667 0.000
Zr 0.333 0.667 0.500
Zr 0.667 0.333 0.000
Zr 0.667 0.333 0.500
Zr 0.741 0.000 0.750
Zr 0.741 0.741 0.250
As 0.000 0.000 0.000
As 0.000 0.000 0.500
Pb 0.000 0.395 0.750
Pb 0.000 0.605 0.250
Pb 0.395 0.000 0.750
Pb 0.395 0.395 0.250
Pb 0.605 0.000 0.250
Pb 0.605 0.605 0.750

---

Record 9
A relaxed structure of TaTlN2, computed with GGA-PBEsol.

Results
energy relative to the elements, uncorrected: -0.55 eV/atom

Unit cell a=5.832 b=5.832 c=8.726 alpha=90.00 beta=90.00 gamma=90.00
Fractional positions:
Ta 0.000 0.000 0.000
Ta 0.000 0.500 0.250
Ta 0.500 0.000 0.750
Ta 0.500 0.500 0.500
Tl 0.000 0.000 0.500
Tl 0.000 0.500 0.750
Tl 0.500 0.000 0.250
Tl 0.500 0.500 0.000
N 0.110 0.750 0.125
N 0.250 0.110 0.875
N 0.250 0.390 0.375
N 0.390 0.750 0.625
N 0.610 0.250 0.625
N 0.750 0.610 0.375
N 0.750 0.890 0.875
N 0.890 0.250 0.125

---

Record 10
A relaxed structure of NbOF2, computed with GGA-PBEsol.

Results
energy relative to the elements, uncorrected: -2.56 eV/atom
N(E_F): 6.44 states/eV/cell

Unit cell a=3.381 b=3.864 c=8.770 alpha=90.00 beta=90.00 gamma=90.00
Fractional positions:
Nb 0.000 0.000 0.000
Nb 0.500 0.500 0.500
O 0.000 0.500 0.000
O 0.500 0.000 0.500
F 0.000 0.500 0.358
F 0.000 0.500 0.642
F 0.500 0.000 0.142
F 0.500 0.000 0.858

---

Record 11
A relaxed structure of InAg3P2O8, computed with GGA-PBEsol.

Results
energy relative to the elements, uncorrected: -1.45 eV/atom

Unit cell a=5.152 b=5.152 c=7.448 alpha=94.82 beta=94.82 gamma=64.28
Fractional positions:
In 0.000 0.000 0.000
Ag 0.000 0.000 0.500
Ag 0.368 0.368 0.362
Ag 0.632 0.632 0.638
P 0.335 0.335 0.790
P 0.665 0.665 0.210
O 0.216 0.671 0.796
O 0.234 0.234 0.945
O 0.239 0.239 0.602
O 0.329 0.784 0.204
O 0.671 0.216 0.796
O 0.761 0.761 0.398
O 0.766 0.766 0.055
O 0.784 0.329 0.204

---

Record 12
A relaxed structure of LuMn4Cu3O12, computed with GGA-PBEsol.

Results
energy relative to the elements, uncorrected: -1.63 eV/atom
N(E_F): 6.00 states/eV/cell

Unit cell a=6.189 b=6.189 c=6.189 alpha=109.47 beta=109.47 gamma=109.47
Fractional positions:
Lu 0.000 0.000 0.000
Mn 0.000 0.000 0.500
Mn 0.000 0.500 0.000
Mn 0.500 0.000 0.000
Mn 0.500 0.500 0.500
Cu 0.000 0.500 0.500
Cu 0.500 0.000 0.500
Cu 0.500 0.500 0.000
O 0.121 0.296 0.824
O 0.176 0.472 0.296
O 0.176 0.879 0.704
O 0.296 0.176 0.472
O 0.296 0.824 0.121
O 0.472 0.296 0.176
O 0.528 0.704 0.824
O 0.704 0.176 0.879
O 0.704 0.824 0.528
O 0.824 0.121 0.296
O 0.824 0.528 0.704
O 0.879 0.704 0.176

---

Record 13
A relaxed structure of GaSb3F, computed with GGA-PBEsol.

Results
energy relative to the elements, uncorrected: -0.08 eV/atom
N(E_F): 3.01 states/eV/cell

Unit cell a=4.886 b=4.886 c=4.886 alpha=90.00 beta=90.00 gamma=90.00
Fractional positions:
Ga 0.000 0.000 0.000
Sb 0.000 0.500 0.500
Sb 0.500 0.000 0.500
Sb 0.500 0.500 0.000
F 0.500 0.500 0.500

---

Record 14
A relaxed structure of YTlAs2, computed with GGA-PBEsol.

Results
calculated formation energy: -0.571 eV per atom
N(E_F): 3.63 states/eV/cell
polymorph energy (0 for the lowest one): 0.014 eV/atom

Unit cell a=10.999 b=3.963 c=4.248 alpha=90.00 beta=96.96 gamma=90.00
Fractional positions:
Y 0.000 0.000 0.000
Y 0.500 0.500 0.000
Tl 0.235 0.000 0.569
Tl 0.735 0.500 0.569
As 0.215 0.500 0.045
As 0.477 0.000 0.496
As 0.715 0.000 0.045
As 0.977 0.500 0.496

---

Record 15
A relaxed structure of Al2CrCd, computed with GGA-PBEsol.

Results
calculated formation energy: 0.181 eV per atom
N(E_F): 2.26 states/eV/cell

Unit cell a=3.000 b=3.841 c=5.571 alpha=90.00 beta=90.00 gamma=90.00
Fractional positions:
Al 0.000 0.000 0.000
Al 0.500 0.500 0.260
Cr 0.500 0.500 0.795
Cd 0.000 0.000 0.520

---

Record 16
A relaxed structure of AlMo4W, computed with GGA-PBEsol.

Results
calculated formation energy: 0.225 eV per atom
N(E_F): 3.23 states/eV/cell

Unit cell a=5.128 b=5.128 c=5.128 alpha=60.00 beta=60.00 gamma=60.00
Fractional positions:
Al 0.000 0.000 0.000
Mo 0.375 0.375 0.375
Mo 0.375 0.375 0.876
Mo 0.375 0.876 0.375
Mo 0.876 0.375 0.375
W 0.750 0.750 0.750

---

Record 17
A relaxed structure of Ca2CuTcP, computed with GGA-PBEsol.

Results
calculated formation energy: 0.631 eV per atom
N(E_F): 3.47 states/eV/cell

Unit cell a=5.108 b=5.108 c=4.562 alpha=90.00 beta=90.00 gamma=90.00
Fractional positions:
Ca 0.000 0.500 0.000
Ca 0.500 0.000 0.000
Cu 0.000 0.000 0.000
Tc 0.000 0.000 0.500
P 0.500 0.500 0.500

---

Record 18
A relaxed structure of Sc2Zn, computed with GGA-PBEsol.

Results
calculated formation energy: -0.196 eV per atom
N(E_F): 15.74 states/eV/cell

Unit cell a=11.037 b=3.262 c=7.954 alpha=90.00 beta=122.61 gamma=90.00
Fractional positions:
Sc 0.095 0.000 0.349
Sc 0.150 0.500 0.048
Sc 0.350 0.000 0.952
Sc 0.405 0.500 0.651
Sc 0.595 0.500 0.349
Sc 0.650 0.000 0.048
Sc 0.850 0.500 0.952
Sc 0.905 0.000 0.651
Zn 0.127 0.500 0.666
Zn 0.373 0.000 0.334
Zn 0.627 0.000 0.666
Zn 0.873 0.500 0.334

---

Record 19
A relaxed structure of BeAg2Cl, computed with GGA-PBEsol.

Results
energy relative to the elements, uncorrected: 0.13 eV/atom
N(E_F): 2.11 states/eV/cell
polymorph energy (0 for the lowest one): 0.044 eV/atom

Unit cell a=6.847 b=3.352 c=6.061 alpha=90.00 beta=103.22 gamma=90.00
Fractional positions:
Be 0.000 0.000 0.000
Be 0.500 0.500 0.000
Ag 0.223 0.500 0.181
Ag 0.277 0.000 0.819
Ag 0.723 0.000 0.181
Ag 0.777 0.500 0.819
Cl 0.000 0.500 0.500
Cl 0.500 0.000 0.500

---

Record 20
A relaxed structure of MnAs2P, computed with GGA-PBEsol.

Results
calculated formation energy: 0.393 eV per atom
N(E_F): 2.93 states/eV/cell

Unit cell a=3.024 b=4.510 c=4.635 alpha=90.00 beta=90.00 gamma=90.00
Fractional positions:
Mn 0.000 0.000 0.000
As 0.000 0.500 0.500
As 0.500 0.500 0.000
P 0.500 0.000 0.500

---

Record 21
A relaxed structure of ZrTc2P, computed with GGA-PBEsol.

Results
calculated formation energy: -0.138 eV per atom
N(E_F): 7.09 states/eV/cell

Unit cell a=5.535 b=8.571 c=2.883 alpha=90.00 beta=118.98 gamma=90.00
Fractional positions:
Zr 0.000 0.000 0.000
Zr 0.500 0.500 0.000
Tc 0.250 0.250 0.500
Tc 0.250 0.750 0.500
Tc 0.750 0.250 0.500
Tc 0.750 0.750 0.500
P 0.000 0.500 0.000
P 0.500 0.000 0.000

---

Record 22
A relaxed structure of NbGa3Pb, computed with GGA-PBEsol.

Results
calculated formation energy: 0.409 eV per atom
N(E_F): 2.27 states/eV/cell

Unit cell a=4.984 b=4.984 c=4.984 alpha=90.00 beta=90.00 gamma=90.00
Fractional positions:
Nb 0.000 0.000 0.000
Ga 0.000 0.000 0.500
Ga 0.000 0.500 0.000
Ga 0.500 0.000 0.000
Pb 0.500 0.500 0.500